1.
Density functional theory data (PBE) for crystalline Sr8As2P3 at its relaxed geometry.

The formation energy is -94.6 kJ/mol of atoms. The crystal system is orthorhombic.

Lattice parameters (Å, degrees): 9.217 9.217 5.244 90.00 90.00 109.27
Atoms (fractional coordinates):
Sr 0.113 0.887 0.000
Sr 0.115 0.353 0.500
Sr 0.353 0.115 0.500
Sr 0.375 0.625 0.000
Sr 0.625 0.375 0.000
Sr 0.647 0.885 0.500
Sr 0.885 0.647 0.500
Sr 0.887 0.113 0.000
As 0.263 0.737 0.500
As 0.737 0.263 0.500
P 0.000 0.000 0.500
P 0.274 0.274 0.000
P 0.726 0.726 0.000

---

2.
Density functional theory data (PBE) for crystalline Be3PbSe at its relaxed geometry.

Its formation energy (no corrections) is 1.09 eV/atom. The crystal system is cubic.

Lattice parameters (Å, degrees): 4.668 4.668 4.668 90.00 90.00 90.00
Atoms (fractional coordinates):
Be 0.000 0.000 0.500
Be 0.000 0.500 0.000
Be 0.500 0.000 0.000
Pb 0.000 0.000 0.000
Se 0.500 0.500 0.500

---

3.
Density functional theory data (PBE) for crystalline Th2CuIr at its relaxed geometry.

The formation energy is -56.8 kJ/mol of atoms. The crystal system is monoclinic.

Lattice parameters (Å, degrees): 5.926 4.392 7.766 90.00 110.09 90.00
Atoms (fractional coordinates):
Th 0.224 0.250 0.427
Th 0.227 0.250 0.939
Th 0.773 0.750 0.061
Th 0.776 0.750 0.573
Cu 0.343 0.750 0.709
Cu 0.657 0.250 0.291
Ir 0.315 0.750 0.209
Ir 0.685 0.250 0.791

---

4.
Density functional theory data (PBE) for crystalline Tl2CdH2 at its relaxed geometry.

For the calculated total energy, the calculation gives -20.6 eV per cell. The crystal system is tetragonal.

Lattice parameters (Å, degrees): 7.743 7.743 3.446 90.00 90.00 90.00
Atoms (fractional coordinates):
Tl 0.157 0.343 0.000
Tl 0.343 0.843 0.000
Tl 0.657 0.157 0.000
Tl 0.843 0.657 0.000
Cd 0.000 0.000 0.500
Cd 0.500 0.500 0.500
H 0.207 0.707 0.500
H 0.293 0.207 0.500
H 0.707 0.793 0.500
H 0.793 0.293 0.500

---

5.
Density functional theory data (PBE) for crystalline TmCo2Ge at its relaxed geometry.

The formation energy is -29.8 kJ/mol of atoms. The crystal system is cubic.

Lattice parameters (Å, degrees): 4.339 4.339 4.339 60.00 60.00 60.00
Atoms (fractional coordinates):
Tm 0.000 0.000 0.000
Co 0.250 0.250 0.250
Co 0.750 0.750 0.750
Ge 0.500 0.500 0.500

---

6.
Density functional theory data (PBE) for crystalline BaIn2NiGe at its relaxed geometry.

The formation energy is -18.9 kJ/mol of atoms. The crystal system is tetragonal.

Lattice parameters (Å, degrees): 5.086 5.086 4.930 90.00 90.00 90.00
Atoms (fractional coordinates):
Ba 0.000 0.000 0.000
In 0.000 0.500 0.500
In 0.500 0.000 0.500
Ni 0.500 0.500 0.500
Ge 0.500 0.500 0.000

---

7.
Density functional theory data (PBE) for crystalline Pr2HoIn at its relaxed geometry.

The formation energy is -18.8 kJ/mol of atoms. The crystal system is tetragonal.

Lattice parameters (Å, degrees): 3.659 3.659 9.561 90.00 90.00 90.00
Atoms (fractional coordinates):
Pr 0.000 0.000 0.229
Pr 0.000 0.000 0.771
Ho 0.500 0.500 0.500
In 0.500 0.500 0.000

---

8.
Density functional theory data (PBE) for crystalline Zr4Sn2Mo at its relaxed geometry.

The formation energy is 28.9 kJ/mol of atoms. The crystal system is tetragonal.

Lattice parameters (Å, degrees): 8.460 8.460 8.460 146.72 146.72 47.78
Atoms (fractional coordinates):
Zr 0.000 0.500 0.500
Zr 0.174 0.174 0.000
Zr 0.500 0.000 0.500
Zr 0.826 0.826 0.000
Sn 0.363 0.363 0.000
Sn 0.637 0.637 0.000
Mo 0.000 0.000 0.000

---

9.
Density functional theory data (PBE) for crystalline BaEu2Si at its relaxed geometry.

Its formation energy (no corrections) is -0.17 eV/atom. The crystal system is tetragonal.

Lattice parameters (Å, degrees): 3.848 3.848 10.015 90.00 90.00 90.00
Atoms (fractional coordinates):
Ba 0.000 0.000 0.000
Eu 0.500 0.500 0.339
Eu 0.500 0.500 0.661
Si 0.000 0.000 0.500

---

10.
Density functional theory data (PBE) for crystalline Rb4Ac3ZnS8 at its relaxed geometry.

Its formation energy (no corrections) is -1.45 eV/atom. The crystal system is monoclinic.

Lattice parameters (Å, degrees): 8.798 8.798 9.178 117.32 117.32 58.06
Atoms (fractional coordinates):
Rb 0.000 0.000 0.000
Rb 0.000 0.500 0.000
Rb 0.500 0.000 0.000
Rb 0.500 0.500 0.000
Ac 0.000 0.000 0.500
Ac 0.000 0.500 0.500
Ac 0.500 0.000 0.500
Zn 0.500 0.500 0.500
S 0.229 0.229 0.706
S 0.236 0.236 0.269
S 0.269 0.697 0.677
S 0.303 0.731 0.323
S 0.697 0.269 0.677
S 0.731 0.303 0.323
S 0.764 0.764 0.731
S 0.771 0.771 0.294

---

11.
Density functional theory data (PBE) for crystalline ReSb2Te at its relaxed geometry.

Its formation energy (no corrections) is 0.49 eV/atom. The crystal system is monoclinic.

Lattice parameters (Å, degrees): 6.834 6.834 4.788 110.38 110.38 27.96
Atoms (fractional coordinates):
Re 0.000 0.000 0.000
Sb 0.319 0.319 0.819
Sb 0.681 0.681 0.181
Te 0.500 0.500 0.500

---

12.
Density functional theory data (PBE) for crystalline NpCoRu at its relaxed geometry.

The formation energy is 17.5 kJ/mol of atoms. The crystal system is trigonal.

Lattice parameters (Å, degrees): 4.372 4.372 2.851 90.00 90.00 120.00
Atoms (fractional coordinates):
Np 0.000 0.000 0.000
Co 0.667 0.333 0.260
Ru 0.333 0.667 0.717